{"formula": "ZrAlAgAu", "functional": "PBE-GGA", "state": "relaxed", "lattice": [[6.649, 0.000, 0.000], [0.000, 6.649, 0.000], [0.000, 0.000, 6.649]], "species": ["Zr", "Zr", "Zr", "Zr", "Al", "Al", "Al", "Al", "Ag", "Ag", "Ag", "Ag", "Au", "Au", "Au", "Au"], "frac_coords": [[0.000, 0.000, 0.000], [0.000, 0.500, 0.500], [0.500, 0.000, 0.500], [0.500, 0.500, 0.000], [0.000, 0.000, 0.500], [0.000, 0.500, 0.000], [0.500, 0.000, 0.000], [0.500, 0.500, 0.500], [0.250, 0.250, 0.750], [0.250, 0.750, 0.250], [0.750, 0.250, 0.250], [0.750, 0.750, 0.750], [0.250, 0.250, 0.250], [0.250, 0.750, 0.750], [0.750, 0.250, 0.750], [0.750, 0.750, 0.250]], "e_tot_ev_per_atom": -4.96, "rho_g_cm3": 9.56}

---

{"formula": "AlAg2B", "functional": "PBE-GGA", "state": "relaxed", "lattice": [[3.871, 0.000, 0.000], [0.000, 3.871, 0.000], [0.000, 0.000, 17.122]], "species": ["Al", "Al", "Al", "Al", "Ag", "Ag", "Ag", "Ag", "Ag", "Ag", "Ag", "Ag", "B", "B", "B", "B"], "frac_coords": [[0.000, 0.000, 0.000], [0.000, 0.500, 0.250], [0.500, 0.000, 0.750], [0.500, 0.500, 0.500], [0.234, 0.250, 0.625], [0.250, 0.734, 0.875], [0.250, 0.766, 0.375], [0.266, 0.250, 0.125], [0.734, 0.750, 0.125], [0.750, 0.234, 0.375], [0.750, 0.266, 0.875], [0.766, 0.750, 0.625], [0.000, 0.000, 0.500], [0.000, 0.500, 0.750], [0.500, 0.000, 0.250], [0.500, 0.500, 0.000]], "de_polymorph_mev_per_atom": 0, "e_tot_ev_per_atom": -3.29, "rho_g_cm3": 6.56}

---

{"formula": "Al3AgB", "functional": "PBE-GGA", "state": "relaxed", "lattice": [[4.233, 0.000, 0.000], [0.000, 4.233, 0.000], [0.000, 0.000, 4.233]], "species": ["Al", "Al", "Al", "Ag", "B"], "frac_coords": [[0.000, 0.000, 0.500], [0.000, 0.500, 0.000], [0.500, 0.000, 0.000], [0.500, 0.500, 0.500], [0.000, 0.000, 0.000]], "de_polymorph_mev_per_atom": 0, "e_tot_ev_per_atom": -3.87, "rho_g_cm3": 4.37}

---

{"formula": "Al2AgB", "functional": "PBE-GGA", "state": "relaxed", "lattice": [[5.373, 0.000, 0.000], [0.000, 5.373, 0.000], [0.000, 0.000, 10.841]], "species": ["Al", "Al", "Al", "Al", "Al", "Al", "Al", "Al", "Ag", "Ag", "Ag", "Ag", "B", "B", "B", "B"], "frac_coords": [[0.146, 0.250, 0.125], [0.250, 0.646, 0.375], [0.250, 0.854, 0.875], [0.354, 0.250, 0.625], [0.646, 0.750, 0.625], [0.750, 0.146, 0.875], [0.750, 0.354, 0.375], [0.854, 0.750, 0.125], [0.000, 0.000, 0.500], [0.000, 0.500, 0.750], [0.500, 0.000, 0.250], [0.500, 0.500, 0.000], [0.000, 0.000, 0.000], [0.000, 0.500, 0.250], [0.500, 0.000, 0.750], [0.500, 0.500, 0.500]], "e_tot_ev_per_atom": -3.76, "rho_g_cm3": 3.66}

---

Number 1: size of the total moment 0.00 μB per formula unit, density of states at the Fermi level 5.5 states/eV/cell, energy relative to the elements -1.41 eV per formula unit. Number 2: size of the total moment 0.00 μB per formula unit, density of states at the Fermi level 6.2 states/eV/cell, energy relative to the elements 2.95 eV per formula unit. Number 3: size of the total moment 0.00 μB per formula unit, density of states at the Fermi level 1.6 states/eV/cell, energy relative to the elements 1.39 eV per formula unit. Number 4: size of the total moment 0.00 μB per formula unit, density of states at the Fermi level 0.0 states/eV/cell, energy relative to the elements 1.99 eV per formula unit.